Pm5ZnHg8 | PBE-GGA | optimized geometry

The structure in POSCAR format:
```
Pm5ZnHg8
1.0
7.885 0.025 -0.043
-2.644 7.429 0.043
-2.596 -3.744 6.436
Hg Pm Zn
8 5 1
direct
0.823 0.265 0.412 Hg
0.284 0.286 0.401 Hg
0.002 0.118 0.716 Hg
0.588 0.411 0.853 Hg
0.147 0.735 0.558 Hg
0.599 0.882 0.885 Hg
0.442 0.589 0.177 Hg
0.115 0.714 0.998 Hg
0.500 0.000 0.500 Pm
0.901 0.862 0.251 Pm
0.961 0.351 0.099 Pm
0.389 0.138 0.039 Pm
0.749 0.649 0.611 Pm
0.250 0.500 0.750 Zn
```

Results
crystal system = tetragonal
formation enthalpy at 0 K = -0.35 eV/atom